1.
Ba2TaHg (GGA-PBEsol, optimized geometry); DOS at the Fermi energy = 3.342 states/eV per cell; energy of formation = 0.758 eV per atom; symmetry = No. 119
1.0
-1.395 -1.548 -5.089
-4.477 -2.499 1.988
0.910 5.301 1.109
Ba Hg Ta
2 1 1
Cartesian
0.000 0.000 0.000
-1.711 0.865 -2.765
-2.936 -2.024 -1.550
-3.251 0.389 0.773

---

2.
BaTa2Hg (GGA-PBEsol, optimized geometry); DOS at the Fermi energy = 3.007 states/eV per cell; energy of formation = 0.682 eV per atom; symmetry = No. 12
1.0
3.042 0.000 0.000
0.000 5.768 0.008
-1.521 -1.185 5.537
Ba Hg Ta
1 1 2
Cartesian
1.521 0.000 0.000
0.000 2.884 0.004
0.000 1.232 3.099
1.521 3.351 2.445

---

3.
BaTa2Hg (GGA-PBEsol, optimized geometry); DOS at the Fermi energy = 3.842 states/eV per cell; energy of formation = 0.655 eV per atom; symmetry = No. 8
1.0
-0.565 -2.455 -1.720
4.204 2.093 -1.665
3.081 -4.153 4.917
Ba Hg Ta
1 1 2
Cartesian
5.335 -1.224 -0.007
2.121 -1.644 -1.055
3.009 -3.921 4.608
4.797 -3.091 2.836

---

| no. | V (Å³/cell) |
| --- | --- |
| 1 | 117 |
| 2 | 97 |
| 3 | 103 |